(1)
{
  "formula": "Ag2OsW",
  "functional": "PBE",
  "state": "optimized geometry",
  "relative_energy_ev_per_atom": 0.366,
  "energy_ev_per_cell": -27.28,
  "space_group": "No. 166",
  "dos_at_fermi_per_ev_cell": 2.58,
  "lattice": [[-9.211, 3.055, -1.931], [-8.404, 2.583, -4.539], [-9.414, 0.510, -3.005]],
  "species": ["W", "Os", "Ag", "Ag"],
  "fractional_positions": [[0.750, 0.750, 0.750], [0.250, 0.250, 0.250], [0.501, 0.501, 0.501], [0.999, 0.999, 0.999]]
}


(2)
{
  "formula": "Ag2OsW",
  "functional": "PBE",
  "state": "optimized geometry",
  "relative_energy_ev_per_atom": 0.887,
  "energy_ev_per_cell": -25.19,
  "space_group": "No. 123",
  "dos_at_fermi_per_ev_cell": 3.69,
  "lattice": [[-2.863, -0.503, 1.305], [1.208, -2.388, 1.729], [1.410, 4.093, 4.668]],
  "species": ["Ag", "Ag", "Os", "W"],
  "fractional_positions": [[0.000, 0.000, 0.006], [0.000, 0.000, 0.494], [0.500, 0.500, 0.250], [0.500, 0.500, 0.750]]
}


In μB/atom, the spin magnetization values for the records above are, in order, 0.0524; 0.0000.